6
Lattice="3.901 0.000 0.000 -1.951 -3.379 0.000 -1.951 -1.126 -6.480" Properties=species:S:1:pos:R:3 comment="PmOF | OQMD via LeMat-Bulk | PBE | optimized geometry" sg=R-3m total_energy_ev_per_atom=-7.6666 vol_a3_per_cell=85 total_magnetization_mub_per_cell=0.0 mass_density_g_cm3=6.999 pbc="T T T"
F 0.000 -2.252 -0.718
F 0.000 -2.252 -5.762
O -1.951 -3.379 -2.378
O 1.951 -1.126 -4.102
Pm 1.951 -1.126 -1.782
Pm -1.951 -3.379 -4.698

=====

12
Lattice="5.842 0.000 0.511 0.000 5.682 0.000 -0.455 0.000 4.818" Properties=species:S:1:pos:R:3 comment="PmOF | OQMD via LeMat-Bulk | PBE | optimized geometry" sg=P2_1/c total_energy_ev_per_atom=-7.5477 vol_a3_per_cell=161 total_magnetization_mub_per_cell=0.0 mass_density_g_cm3=7.413 pbc="T T T"
F 3.139 1.421 0.275
F 2.476 4.262 2.645
F 2.911 1.421 2.684
F 2.248 4.262 5.054
O 4.950 5.225 1.645
O 0.665 2.384 1.274
O 4.722 3.298 4.054
O 0.437 0.457 3.683
Pm 1.257 0.159 1.323
Pm 4.358 3.001 1.597
Pm 1.029 2.682 3.732
Pm 4.130 5.523 4.006

=====

6
Lattice="3.955 0.000 0.000 0.000 3.902 0.000 0.000 0.000 5.621" Properties=species:S:1:pos:R:3 comment="PmOF | OQMD via LeMat-Bulk | PBE | optimized geometry" sg=Pmmn total_energy_ev_per_atom=-7.6619 vol_a3_per_cell=87 total_magnetization_mub_per_cell=0.0 mass_density_g_cm3=6.891 pbc="T T T"
F 0.000 0.000 2.796
F 1.977 1.951 2.825
O 1.977 1.951 0.024
O 0.000 0.000 5.597
Pm 0.000 1.951 1.210
Pm 1.977 0.000 4.411

=====

12
Lattice="5.292 0.000 0.000 0.000 5.292 0.000 0.000 0.000 7.303" Properties=species:S:1:pos:R:3 comment="PmOF | OQMD via LeMat-Bulk | PBE | optimized geometry" sg=P4_12_12 total_energy_ev_per_atom=-7.4762 vol_a3_per_cell=205 total_magnetization_mub_per_cell=0.0 mass_density_g_cm3=5.846 pbc="T T T"
F 3.708 3.708 0.000
F 4.231 1.061 1.826
F 1.585 1.585 3.651
F 1.061 4.231 5.477
O 1.694 1.694 0.000
O 0.952 4.340 1.826
O 3.598 3.598 3.651
O 4.340 0.952 5.477
Pm 0.153 0.153 0.000
Pm 2.493 2.799 1.826
Pm 5.139 5.139 3.651
Pm 2.799 2.493 5.477